Crystalline Hf2ZrCdC at its relaxed geometry, computed with PBE-GGA.

The calculation puts the formation energy at -0.42 eV per atom. The calculated density comes out at 10.17 g cm⁻³.

The structure belongs to space group P4/mmm (No. 123); the cell edges are 4.5137, 4.5137 and 4.5879 Å and the angles 90.00°, 90.00° and 90.00°. The distinct sites, in fractional coordinates, are Hf at (0.0000, 0.5000, 0.0000), Zr at (0.0000, 0.0000, 0.5000), Cd at (0.5000, 0.5000, 0.5000) and C at (0.0000, 0.0000, 0.0000).